## Pm4Dy5Er2 (PBE-GGA)

Data for a relaxed structure of Pm4Dy5Er2.

a b c (Å): 5.646 6.615 9.972
angles (deg): 90.97 106.44 90.00
Element x y z (fractional)
Pm (0.980, 0.712, 0.961)
Pm (0.694, 0.071, 0.389)
Pm (0.020, 0.288, 0.039)
Dy (0.500, 0.000, 0.000)
Pm (0.306, 0.929, 0.611)
Dy (0.130, 0.893, 0.260)
Dy (0.208, 0.402, 0.416)
Dy (0.792, 0.598, 0.584)
Er (0.597, 0.553, 0.195)
Dy (0.870, 0.107, 0.740)
Er (0.403, 0.447, 0.805)

Properties
The density of states at the Fermi level comes out at 1.4939 states/eV per atom. The calculation puts the excess energy over the best structure of this formula in the dataset at 0 kJ/mol of formula units. The value obtained for the calculated formation energy is 0.11 eV per atom. The crystal system is monoclinic.

## Pm3Dy4Er2 (PBE-GGA)

Data for a relaxed structure of Pm3Dy4Er2.

a b c (Å): 6.171 6.182 12.858
angles (deg): 118.73 103.91 119.89
Element x y z (fractional)
Er (0.779, 0.557, 0.334)
Pm (0.000, 0.000, 0.000)
Dy (0.890, 0.779, 0.667)
Pm (0.554, 0.110, 0.666)
Dy (0.110, 0.221, 0.333)
Pm (0.446, 0.890, 0.334)
Er (0.221, 0.443, 0.666)
Dy (0.335, 0.668, 0.000)
Dy (0.665, 0.332, 0.000)

Properties
The density of states at the Fermi level comes out at 1.3096 states/eV per atom. The calculation puts the excess energy over the best structure of this formula in the dataset at 0 kJ/mol of formula units. The value obtained for the calculated formation energy is 0.02 eV per atom. The crystal system is triclinic.

## Pm12DyEr6 (PBE-GGA)

Data for a relaxed structure of Pm12DyEr6.

a b c (Å): 9.515 9.515 9.515
angles (deg): 110.90 110.90 110.90
Element x y z (fractional)
Er (0.213, 0.317, 0.472)
Er (0.787, 0.683, 0.528)
Er (0.528, 0.787, 0.683)
Er (0.317, 0.472, 0.213)
Pm (0.157, 0.737, 0.105)
Pm (0.843, 0.263, 0.895)
Pm (0.420, 0.629, 0.944)
Er (0.472, 0.213, 0.317)
Pm (0.263, 0.895, 0.843)
Pm (0.056, 0.580, 0.371)
Pm (0.944, 0.420, 0.629)
Pm (0.371, 0.056, 0.580)
Pm (0.629, 0.944, 0.420)
Er (0.683, 0.528, 0.787)
Pm (0.895, 0.843, 0.263)
Pm (0.105, 0.157, 0.737)
Pm (0.580, 0.371, 0.056)
Dy (0.000, 0.000, 0.000)
Pm (0.737, 0.105, 0.157)

Properties
The density of states at the Fermi level comes out at 1.3463 states/eV per atom. The calculation puts the excess energy over the best structure of this formula in the dataset at 0 kJ/mol of formula units. The value obtained for the calculated formation energy is 0.02 eV per atom. The crystal system is trigonal.

## PmDy2Er (PBE-GGA)

Data for a relaxed structure of PmDy2Er.

a b c (Å): 3.560 3.560 11.783
angles (deg): 81.31 81.31 60.00
Element x y z (fractional)
Er (0.500, 0.500, 0.500)
Dy (0.249, 0.249, 0.254)
Dy (0.751, 0.751, 0.746)
Pm (0.000, 0.000, 0.000)

Properties
The density of states at the Fermi level comes out at 1.3777 states/eV per atom. The calculation puts the excess energy over the best structure of this formula in the dataset at 1 kJ/mol of formula units. The value obtained for the calculated formation energy is 0.02 eV per atom. The crystal system is trigonal.